This record from the Alexandria database describes an optimized crystal structure of AlCr2Pt. The functional is GGA-PBE.

Cell lengths 4.6181, 4.6181, 4.6181 Å; angles 129.76, 129.68, 73.86 degrees
Last column: nearest neighbours and their distance in Å.
Fractional positions:
Cr 0.9998 0.9998 0.0000  4 Cr 2.69-2.70, 4 Al 2.69, 4 Pt 2.77
Cr 0.7503 0.2503 0.5000  4 Cr 2.69-2.70, 4 Pt 2.69, 4 Al 2.77
Al 0.2499 0.7499 0.5000  8 Cr 2.69-2.77, 4 Pt 2.69
Pt 0.5000 0.5000 0.0000  4 Al 2.69, 8 Cr 2.69-2.77

---

This record from the Alexandria database describes an optimized crystal structure of MgBeZn2. The functional is GGA-PBE.

Calculated values
Offset from the most stable computed form, eV per formula unit: 0.53

Cell lengths 8.5606, 8.5606, 8.5606 Å; angles 19.59, 19.59, 19.59 degrees
Last column: nearest neighbours and their distance in Å.
Fractional positions:
Be 0.5071 0.5071 0.5071  3 Zn 2.39
Zn 0.9941 0.9941 0.9941  9 Zn 2.74-2.91, 3 Mg 2.96
Zn 0.2415 0.2415 0.2415  3 Be 2.39
Mg 0.7573 0.7573 0.7573  3 Be 2.69, 6 Mg 2.91, 3 Zn 2.96

---

This record from the Alexandria database describes an optimized crystal structure of Cd2RhAu. The functional is GGA-PBE.

Cell lengths 5.6319, 5.6319, 5.6319 Å; angles 146.81, 130.94, 60.52 degrees
Last column: nearest neighbours and their distance in Å.
Fractional positions:
Cd 0.9943 0.9943 0.0000  4 Rh 2.84, 2 Au 2.96, 2 Cd 3.08
Cd 0.2646 0.7646 0.5000  2 Rh 2.81, 4 Au 2.85, 2 Cd 3.08
Rh 0.5017 0.5017 0.0000  6 Cd 2.81-2.84, 2 Au 2.82
Au 0.7394 0.2394 0.5000  2 Rh 2.82, 6 Cd 2.85-2.96

---

This record from the Alexandria database describes an optimized crystal structure of Ca2InP. The functional is GGA-PBE.

Calculated values
Offset from the most stable computed form, eV per formula unit: 0.42

Cell lengths 6.7596, 6.7596, 6.7596 Å; angles 147.88, 139.11, 52.92 degrees
Last column: nearest neighbours and their distance in Å.
Fractional positions:
Ca 0.0529 0.0529 0.0000  2 P 3.04, 4 In 3.31
Ca 0.7573 0.2573 0.5000  4 P 3.01, 2 In 3.22
In 0.4388 0.4388 0.0000  2 P 2.94, 2 Ca 3.22
P 0.2510 0.7510 0.5000  2 In 2.94, 6 Ca 3.01-3.04

---

This record from the Alexandria database describes an optimized crystal structure of HfCd5Ag4. The functional is GGA-PBE.

Cell lengths 3.0824, 3.0824, 20.8009 Å; angles 90.00, 90.00, 90.00 degrees
Last column: nearest neighbours and their distance in Å.
Fractional positions:
Hf 0.0000 0.0000 0.0000  4 Hf 3.08, 8 Cd 3.12
Cd 0.5000 0.5000 0.1072  4 Ag 2.98, 4 Cd 3.08, 4 Hf 3.12
Cd 0.5000 0.5000 0.3025  8 Ag 2.98-3.00, 4 Cd 3.08
Cd 0.5000 0.5000 0.5000  8 Ag 2.99, 4 Cd 3.08
Cd 0.5000 0.5000 0.6975  8 Ag 2.98-3.00, 4 Cd 3.08
Cd 0.5000 0.5000 0.8928  4 Ag 2.98, 4 Cd 3.08, 4 Hf 3.12
Ag 0.0000 0.0000 0.2047  8 Cd 2.98, 4 Ag 3.08
Ag 0.0000 0.0000 0.4016  8 Cd 2.99-3.00, 4 Ag 3.08
Ag 0.0000 0.0000 0.5984  8 Cd 2.99-3.00, 4 Ag 3.08
Ag 0.0000 0.0000 0.7953  8 Cd 2.98, 4 Ag 3.08

---

This record from the Alexandria database describes an optimized crystal structure of Ce2Sm3TmAs6. The functional is GGA-PBE.

Cell lengths 4.1919, 8.3816, 9.3638 Å; angles 102.98, 102.93, 90.00 degrees
Last column: nearest neighbours and their distance in Å.
Fractional positions:
Ce 0.8347 0.6688 0.6693  6 As 2.93-2.97
Ce 0.1653 0.3312 0.3307  6 As 2.93-2.97
Sm 0.5000 0.5000 0.0000  6 As 2.97-3.00
Sm 0.8334 0.1654 0.6667  6 As 2.97-3.01
Sm 0.1666 0.8346 0.3333  6 As 2.97-3.01
Tm 0.5000 0.0000 0.0000  6 As 2.92-2.93
As 0.3359 0.9164 0.6717  1 Tm 2.92, 2 Ce 2.95, 3 Sm 2.97-3.01
As 0.6674 0.5820 0.3348  3 Ce 2.96-2.97, 3 Sm 2.97-2.98
As 0.6641 0.0836 0.3283  1 Tm 2.92, 2 Ce 2.95, 3 Sm 2.97-3.01
As 0.0003 0.2437 0.0006  2 Tm 2.93, 1 Ce 2.93, 3 Sm 2.97-3.00
As 0.9997 0.7563 0.9994  2 Tm 2.93, 1 Ce 2.93, 3 Sm 2.97-3.00
As 0.3326 0.4180 0.6652  3 Ce 2.96-2.97, 3 Sm 2.97-2.98

---

This record from the Alexandria database describes an optimized crystal structure of Pu2SBr2O. The functional is GGA-PBE.

Calculated values
Formation energy from raw total energies, eV/atom: -1.93

Cell lengths 3.8241, 6.6413, 13.5467 Å; angles 90.00, 90.00, 90.00 degrees
Last column: nearest neighbours and their distance in Å.
Fractional positions:
Pu 0.0000 0.1028 0.7602  2 O 2.22
Pu 0.5000 0.4287 0.5831  1 O 2.18
Pu 0.0000 0.6028 0.2398  2 O 2.22
Pu 0.5000 0.9287 0.4169  1 O 2.18
S 0.0000 0.6318 0.4555  5 Pu 2.80-2.93, 2 O 3.13
S 0.0000 0.1318 0.5445  5 Pu 2.80-2.93, 2 O 3.13
Br 0.5000 0.9716 0.9102  2 Pu 2.92, 1 O 3.19
Br 0.0000 0.1604 0.2832  3 Pu 3.00-3.05, 2 O 3.33
Br 0.5000 0.4716 0.0898  2 Pu 2.92, 1 O 3.19
Br 0.0000 0.6604 0.7168  3 Pu 3.00-3.05, 2 O 3.33
O 0.5000 0.7502 0.2820  3 Pu 2.18-2.22
O 0.5000 0.2502 0.7180  3 Pu 2.18-2.22

---

This record from the Alexandria database describes an optimized crystal structure of Ba2Cd4Ga3Au. The functional is GGA-PBE.

Cell lengths 4.9062, 4.9062, 11.0001 Å; angles 90.00, 90.00, 90.00 degrees
Last column: nearest neighbours and their distance in Å.
Fractional positions:
Ba 0.5000 0.0000 0.2565  2 Au 3.63, 6 Ga 3.63-3.74, 9 Cd 3.71-4.05
Ba 0.0000 0.5000 0.7435  2 Au 3.63, 6 Ga 3.63-3.74, 9 Cd 3.71-4.05
Cd 0.5000 0.5000 0.0000  4 Ga 2.84
Cd 0.0000 0.0000 0.0000  4 Ga 2.84
Cd 0.5000 0.0000 0.6246  3 Ga 2.70-2.81, 2 Au 2.81
Cd 0.0000 0.5000 0.3754  3 Ga 2.70-2.81, 2 Au 2.81
Ga 0.0000 0.0000 0.5000  4 Cd 2.81
Ga 0.5000 0.0000 0.8703  5 Cd 2.70-2.84
Ga 0.0000 0.5000 0.1297  5 Cd 2.70-2.84
Au 0.5000 0.5000 0.5000  4 Cd 2.81

---

This record from the Alexandria database describes an optimized crystal structure of PrDy3Tl4Te8. The functional is GGA-PBE.

Calculated values
Formation energy from raw total energies, eV/atom: -1.06

Cell lengths 8.9784, 9.6876, 8.9788 Å; angles 117.61, 120.00, 90.00 degrees
Last column: nearest neighbours and their distance in Å.
Fractional positions:
Pr 0.0000 0.5000 0.0000  6 Te 3.19
Dy 0.5000 0.5000 0.0000  6 Te 3.11-3.12
Dy 0.5000 0.5000 0.5000  6 Te 3.11-3.12
Dy 0.0000 0.5000 0.5000  6 Te 3.11-3.12
Tl 0.5000 0.0000 0.0000  6 Te 3.43
Tl 0.5000 0.0000 0.5000  6 Te 3.50
Tl 0.0000 0.0000 0.0000  6 Te 3.50
Tl 0.0000 0.0000 0.5000  6 Te 3.50
Te 0.2430 0.7164 0.9735  2 Dy 3.11, 1 Pr 3.19, 1 Tl 3.43
Te 0.2430 0.7164 0.4860  2 Dy 3.11, 1 Pr 3.19, 1 Tl 3.43
Te 0.2626 0.2880 0.5253  3 Dy 3.12
Te 0.7304 0.7164 0.9735  2 Dy 3.11, 1 Pr 3.19, 1 Tl 3.43
Te 0.2696 0.2836 0.0265  2 Dy 3.11, 1 Pr 3.19, 1 Tl 3.43
Te 0.7374 0.7120 0.4747  3 Dy 3.12
Te 0.7570 0.2836 0.5140  2 Dy 3.11, 1 Pr 3.19, 1 Tl 3.43
Te 0.7570 0.2836 0.0265  2 Dy 3.11, 1 Pr 3.19, 1 Tl 3.43

---

This record from the Alexandria database describes an optimized crystal structure of Mg2NbTlHg. The functional is GGA-PBE.

Cell lengths 5.1035, 5.4038, 5.1035 Å; angles 90.00, 90.00, 90.00 degrees
Last column: nearest neighbours and their distance in Å.
Fractional positions:
Mg 0.0000 0.0000 0.5000  2 Tl 2.55
Mg 0.5000 0.0000 0.0000  2 Tl 2.55
Tl 0.0000 0.0000 0.0000  4 Mg 2.55, 2 Hg 2.70
Hg 0.0000 0.5000 0.0000  2 Tl 2.70
Nb 0.5000 0.5000 0.5000  4 Hg 3.61, 8 Mg 3.72

---

This record from the Alexandria database describes an optimized crystal structure of Ca2CoSi. The functional is GGA-PBE.

Calculated values
Formation energy from raw total energies, eV/atom: 0.08

Cell lengths 7.8248, 4.9297, 3.5925 Å; angles 90.03, 62.63, 128.76 degrees
Last column: nearest neighbours and their distance in Å.
Fractional positions:
Ca 0.0000 0.0000 0.0000  4 Si 3.05, 4 Co 3.05
Ca 0.5000 0.0000 0.5000  4 Co 3.05, 4 Si 3.05
Co 0.0000 0.5000 0.5000  8 Ca 3.05
Si 0.5000 0.5000 0.0000  8 Ca 3.05

---

This record from the Alexandria database describes an optimized crystal structure of PaCdGe2. The functional is GGA-PBE.

Calculated values
Offset from the most stable computed form, eV per formula unit: 1.39

Cell lengths 3.5680, 3.5680, 6.6933 Å; angles 90.00, 90.00, 90.00 degrees
Last column: nearest neighbours and their distance in Å.
Fractional positions:
Ge 0.0000 0.0000 0.7705  4 Cd 2.95, 1 Ge 3.07, 4 Pa 3.11
Ge 0.0000 0.0000 0.2295  4 Cd 2.95, 1 Ge 3.07, 4 Pa 3.11
Pa 0.5000 0.5000 0.5000  8 Ge 3.11, 2 Cd 3.35
Cd 0.5000 0.5000 0.0000  8 Ge 2.95

---

This record from the Alexandria database describes an optimized crystal structure of YPaNi3. The functional is GGA-PBE.

Cell lengths 3.6085, 4.0617, 12.4575 Å; angles 90.00, 98.33, 90.00 degrees
Last column: nearest neighbours and their distance in Å.
Fractional positions:
Y 0.9302 0.7500 0.8604  10 Ni 2.94-2.99
Y 0.0698 0.2500 0.1396  10 Ni 2.94-2.99
Pa 0.1995 0.7500 0.3990  7 Ni 2.65-2.87
Pa 0.8005 0.2500 0.6010  7 Ni 2.65-2.87
Ni 0.6208 0.7500 0.2417  3 Ni 2.37-2.56, 2 Pa 2.65
Ni 0.3792 0.2500 0.7583  3 Ni 2.37-2.56, 2 Pa 2.65
Ni 0.5246 0.7500 0.0492  3 Ni 2.37
Ni 0.4754 0.2500 0.9508  3 Ni 2.37
Ni 0.6842 0.2500 0.3685  2 Ni 2.56, 5 Pa 2.74-2.87
Ni 0.3158 0.7500 0.6315  2 Ni 2.56, 5 Pa 2.74-2.87

---

This record from the Alexandria database describes an optimized crystal structure of CrRh2Au. The functional is GGA-PBE.

Cell lengths 3.3047, 3.3047, 5.5851 Å; angles 90.00, 90.00, 90.00 degrees
Last column: nearest neighbours and their distance in Å.
Fractional positions:
Au 0.0000 0.0000 0.5044  6 Rh 2.74-2.84, 4 Cr 2.77
Cr 0.5000 0.5000 0.7707  5 Rh 2.56-2.65, 4 Au 2.77
Rh 0.0000 0.0000 0.9954  4 Cr 2.65, 4 Rh 2.68, 2 Au 2.74-2.84
Rh 0.5000 0.5000 0.2296  1 Cr 2.56, 4 Rh 2.68, 4 Au 2.80

---

This record from the Alexandria database describes an optimized crystal structure of TlCd2Ni. The functional is GGA-PBE.

Calculated values
Offset from the most stable computed form, eV per formula unit: 0.90

Cell lengths 4.8777, 4.8777, 4.8777 Å; angles 60.00, 60.00, 60.00 degrees
Last column: nearest neighbours and their distance in Å.
Fractional positions:
Ni 0.0000 0.0000 0.0000  8 Cd 2.99
Tl 0.5000 0.5000 0.5000  8 Cd 2.99
Cd 0.2500 0.2500 0.2500  4 Tl 2.99, 4 Ni 2.99
Cd 0.7500 0.7500 0.7500  4 Tl 2.99, 4 Ni 2.99

---

This record from the Alexandria database describes an optimized crystal structure of SmDyPt10. The functional is GGA-PBE.

Cell lengths 4.4553, 5.3879, 9.2785 Å; angles 90.00, 90.00, 90.00 degrees
Last column: nearest neighbours and their distance in Å.
Fractional positions:
Sm 0.0000 0.0000 0.0000  6 Pt 3.11-3.12
Dy 0.0000 0.5000 0.5000  6 Pt 3.07-3.10
Pt 0.0000 0.0000 0.3351  6 Pt 2.70-2.72
Pt 0.0000 0.5000 0.8309  6 Pt 2.71-2.72
Pt 0.0000 0.5000 0.1691  6 Pt 2.71-2.72
Pt 0.0000 0.0000 0.6649  6 Pt 2.70-2.72
Pt 0.5000 0.0000 0.5000  8 Pt 2.68-2.70
Pt 0.5000 0.5000 0.0000  8 Pt 2.69-2.72
Pt 0.5000 0.2505 0.2511  8 Pt 2.68-2.72
Pt 0.5000 0.7495 0.7489  8 Pt 2.68-2.72
Pt 0.5000 0.7495 0.2511  8 Pt 2.68-2.72
Pt 0.5000 0.2505 0.7489  8 Pt 2.68-2.72

---

This record from the Alexandria database describes an optimized crystal structure of ScVAs2Se. The functional is GGA-PBE.

Calculated values
Formation energy from raw total energies, eV/atom: -0.13
Offset from the most stable computed form, eV per formula unit: 0.00

Cell lengths 4.6365, 4.6365, 5.1032 Å; angles 90.00, 90.00, 90.00 degrees
Last column: nearest neighbours and their distance in Å.
Fractional positions:
Sc 0.5000 0.5000 0.5000  4 Se 3.28, 8 As 3.45
As 0.0000 0.5000 0.0000  2 V 2.32
As 0.5000 0.0000 0.0000  2 V 2.32
Se 0.0000 0.0000 0.5000  2 V 2.55
V 0.0000 0.0000 0.0000  4 As 2.32, 2 Se 2.55

---

This record from the Alexandria database describes an optimized crystal structure of Sb2OsCI. The functional is GGA-PBE.

Calculated values
Formation energy from raw total energies, eV/atom: 1.89
Offset from the most stable computed form, eV per formula unit: 1.11

Cell lengths 5.0387, 5.0387, 5.7916 Å; angles 90.00, 90.00, 90.00 degrees
Last column: nearest neighbours and their distance in Å.
Fractional positions:
I 0.0000 0.0000 0.5000  2 Os 2.90
Sb 0.0000 0.5000 0.0000  2 Os 2.52
Sb 0.5000 0.0000 0.0000  2 Os 2.52
C 0.5000 0.5000 0.5000  4 I 3.56, 8 Sb 3.84
Os 0.0000 0.0000 0.0000  4 Sb 2.52

---

This record from the Alexandria database describes an optimized crystal structure of Ag5GeTe4. The functional is GGA-PBE.

Calculated values
Formation energy from raw total energies, eV/atom: 0.03

Cell lengths 4.6085, 6.3867, 9.5392 Å; angles 109.60, 104.21, 89.49 degrees
Last column: nearest neighbours and their distance in Å.
Fractional positions:
Ag 0.7960 0.3041 0.6008  4 Te 2.78-2.99, 3 Ag 2.89-3.04
Ag 0.8045 0.7793 0.6005  4 Te 2.81-3.13, 3 Ag 2.89-3.04
Ag 0.1955 0.2207 0.3995  4 Te 2.81-3.13, 3 Ag 2.89-3.04
Ag 0.5000 0.5000 0.0000  6 Te 2.95-3.17, 2 Ge 3.19
Ag 0.2040 0.6959 0.3992  4 Te 2.78-2.99, 3 Ag 2.89-3.04
Ge 0.5000 0.0000 0.0000  6 Te 3.06-3.07, 2 Ag 3.19
Te 0.3461 0.0806 0.6926  7 Ag 2.93-3.17, 1 Ge 3.06
Te 0.0619 0.3273 0.1288  4 Ag 2.78-2.99, 2 Ge 3.06-3.07
Te 0.6539 0.9194 0.3074  7 Ag 2.93-3.17, 1 Ge 3.06
Te 0.9381 0.6727 0.8712  4 Ag 2.78-2.99, 2 Ge 3.06-3.07

---

Number 1: total energy -7.5969 eV per atom. Number 2: total energy -1.7252 eV per atom. Number 3: total energy -3.1918 eV per atom. Number 4: total energy -3.6083 eV per atom. Number 5: total energy -2.6341 eV per atom. Number 6: total energy -6.3569 eV per atom. Number 7: total energy -8.7790 eV per atom. Number 8: total energy -2.3287 eV per atom. Number 9: total energy -4.3811 eV per atom. Number 10: total energy -1.9478 eV per atom. Number 11: total energy -4.0515 eV per atom. Number 12: total energy -4.9021 eV per atom. Number 13: total energy -7.0566 eV per atom. Number 14: total energy -6.7105 eV per atom. Number 15: total energy -2.1830 eV per atom. Number 16: total energy -6.5094 eV per atom. Number 17: total energy -5.7817 eV per atom. Number 18: total energy -4.1602 eV per atom. Number 19: total energy -3.1162 eV per atom.